The following is a PBE with a Hubbard U calculation of ErMnSnF6 after structural relaxation, from the Alexandria database.

Unit cell a=5.805 b=5.805 c=11.744 alpha=90.00 beta=90.00 gamma=120.00
Site moments in Bohr magnetons follow the coordinates.
Atoms (fractional coordinates):
F  0.364  0.362  0.846  0.03
Sn  0.000  0.000  0.000  0.38
Er  0.333  0.667  0.750  0.02
Mn  0.333  0.667  0.250  4.70
F  0.002  0.638  0.346  0.03
F  0.998  0.636  0.846  0.03
F  0.362  0.364  0.346  0.03
Sn  0.000  0.000  0.500  0.38
F  0.362  0.998  0.154  0.03
F  0.638  0.002  0.846  0.03
F  0.998  0.362  0.654  0.03
F  0.636  0.638  0.154  0.03
Er  0.667  0.333  0.250  0.02
F  0.638  0.636  0.654  0.03
F  0.364  0.002  0.654  0.03
Mn  0.667  0.333  0.750  4.70
F  0.002  0.364  0.154  0.03
F  0.636  0.998  0.346  0.03

The following is a PBE with a Hubbard U calculation of ErMnTl2F6 after structural relaxation, from the Alexandria database.

Unit cell a=6.265 b=6.262 c=8.862 alpha=90.00 beta=90.00 gamma=90.00
Site moments in Bohr magnetons follow the coordinates.
Atoms (fractional coordinates):
F  0.248  0.502  0.000  0.02
F  0.748  0.001  0.500  0.02
F  0.500  0.250  0.748  0.02
F  0.500  0.250  0.252  0.02
F  0.252  0.001  0.500  0.02
F  0.000  0.750  0.752  0.02
Tl  0.000  0.250  0.750  0.01
Er  0.500  0.250  0.500  0.03
F  0.000  0.750  0.248  0.02
Tl  0.500  0.750  0.750  0.01
F  0.252  0.498  0.500  0.02
Mn  0.500  0.250  0.000  4.72
F  0.752  0.999  0.000  0.02
F  0.248  0.999  0.000  0.02
Tl  0.000  0.250  0.250  0.01
F  0.752  0.502  0.000  0.02
Mn  0.000  0.750  0.500  4.72
Er  0.000  0.750  0.000  0.03
F  0.748  0.498  0.500  0.02
Tl  0.500  0.750  0.250  0.01

The following is a PBE with a Hubbard U calculation of ErMnTlF6 after structural relaxation, from the Alexandria database.

Unit cell a=5.902 b=5.902 c=11.565 alpha=90.00 beta=90.00 gamma=120.00
Site moments in Bohr magnetons follow the coordinates.
Atoms (fractional coordinates):
Mn  0.333  0.667  0.250  4.70
F  0.382  0.998  0.151  0.02
Tl  0.000  0.000  0.000  0.00
F  0.002  0.384  0.151  0.02
F  0.998  0.616  0.849  0.02
Tl  0.000  0.000  0.500  0.00
F  0.002  0.618  0.349  0.02
Er  0.333  0.667  0.750  0.00
F  0.618  0.616  0.651  0.02
F  0.384  0.382  0.849  0.02
F  0.616  0.618  0.151  0.02
Mn  0.667  0.333  0.750  4.70
F  0.998  0.382  0.651  0.02
F  0.384  0.002  0.651  0.02
F  0.616  0.998  0.349  0.02
F  0.618  0.002  0.849  0.02
F  0.382  0.384  0.349  0.02
Er  0.667  0.333  0.250  0.00

The following is a PBE with a Hubbard U calculation of ErMn3Tl2F12 after structural relaxation, from the Alexandria database.

Unit cell a=7.924 b=7.924 c=7.924 alpha=58.42 beta=58.42 gamma=58.42
Site moments in Bohr magnetons follow the coordinates.
Atoms (fractional coordinates):
Mn  0.000  0.500  0.000  4.46
F  0.075  0.670  0.075  0.02
F  0.307  0.307  0.948  0.00
F  0.693  0.052  0.693  0.00
F  0.948  0.307  0.307  0.00
F  0.925  0.925  0.330  0.02
F  0.052  0.693  0.693  0.00
F  0.330  0.925  0.925  0.02
F  0.925  0.330  0.925  0.02
Er  0.000  0.000  0.000  0.02
Tl  0.685  0.685  0.685  0.00
Tl  0.315  0.315  0.315  0.00
F  0.075  0.075  0.670  0.02
F  0.670  0.075  0.075  0.02
Mn  0.500  0.000  0.000  4.46
Mn  0.000  0.000  0.500  4.46
F  0.693  0.693  0.052  0.00
F  0.307  0.948  0.307  0.00

The following is a PBE with a Hubbard U calculation of ErMoF6 after structural relaxation, from the Alexandria database.

Unit cell a=6.200 b=5.022 c=5.022 alpha=64.88 beta=98.36 gamma=81.64
Site moments in Bohr magnetons follow the coordinates.
Atoms (fractional coordinates):
F  0.278  0.713  0.024  0.01
F  0.722  0.024  0.713  0.01
F  0.278  0.018  0.328  0.01
F  0.176  0.306  0.735  0.01
Er  0.500  0.020  0.020  0.01
F  0.824  0.735  0.306  0.01
Mo  0.000  0.021  0.021  2.78
F  0.722  0.328  0.018  0.01

Quick rundown of Fermi-level density of states, same order as above: 5.41 4.77 0.00 0.20 0.00 states/eV/cell
Quick rundown of E_tot, same order as above: -105.532 -109.087 -107.424 -104.174 -47.999 eV per cell